Record 1
Below is a relaxed structure of K2ScNi, with properties calculated at the GGA-PBEsol level.

Lattice parameters (Å, degrees): 3.487 6.270 7.236 115.67 103.94 90.00
Atoms (fractional coordinates):
K 0.991 0.991 0.981
K 0.811 0.311 0.623
Ni 0.536 0.536 0.072
Sc 0.162 0.662 0.324

space-group type: No. 44
uncorrected energy: -13.13 eV/cell
ΔE_f: 183 kJ/mol of formula units

Record 2
Below is a relaxed structure of KLa2Pb, with properties calculated at the GGA-PBEsol level.

Lattice parameters (Å, degrees): 3.570 4.344 10.170 90.00 90.00 90.00
Atoms (fractional coordinates):
K 0.500 0.500 0.500
La 0.000 0.000 0.822
La 0.000 0.000 0.178
Pb 0.500 0.500 0.000

space-group type: No. 47
uncorrected energy: -16.12 eV/cell
ΔE_f: -28 kJ/mol of formula units

Record 3
Below is a relaxed structure of ZrI3, with properties calculated at the GGA-PBEsol level.

Lattice parameters (Å, degrees): 6.441 7.272 7.272 120.00 90.00 90.00
Atoms (fractional coordinates):
I 0.750 0.670 0.670
I 0.750 0.000 0.330
I 0.750 0.330 0.000
I 0.250 0.330 0.330
I 0.250 0.000 0.670
I 0.250 0.670 0.000
Zr 0.000 0.000 0.000
Zr 0.500 0.000 0.000

space-group type: No. 193
uncorrected energy: -36.35 eV/cell
formation energy without anion corrections: -0.947 eV/atom

Record 4
Below is a relaxed structure of Mn2Co, with properties calculated at the GGA-PBEsol level.

Lattice parameters (Å, degrees): 3.461 3.461 10.676 99.33 99.33 90.00
Each line ends with the local moment (μB).
Atoms (fractional coordinates):
Co 0.917 0.917 0.834  0.07
Co 0.083 0.083 0.166  0.07
Co 0.167 0.667 0.334  0.07
Co 0.333 0.833 0.666  0.07
Mn 0.749 0.749 0.499  -1.03
Mn 0.251 0.251 0.501  -1.03
Mn 0.999 0.499 0.999  -1.03
Mn 0.501 0.001 0.001  -1.03
Mn 0.581 0.581 0.162  1.72
Mn 0.419 0.419 0.838  1.72
Mn 0.831 0.331 0.662  1.72
Mn 0.669 0.169 0.338  1.72

space-group type: No. 141
uncorrected energy: -108.73 eV/cell
ΔE_f: 8 kJ/mol of formula units

Record 5
Below is a relaxed structure of CuSbNF2, with properties calculated at the GGA-PBEsol level.

Lattice parameters (Å, degrees): 4.071 4.253 4.253 90.00 90.00 90.00
Atoms (fractional coordinates):
Sb 0.000 0.000 0.000
N 0.500 0.000 0.000
Cu 0.500 0.500 0.500
F 0.000 0.000 0.500
F 0.000 0.500 0.000

space-group type: No. 123
uncorrected energy: -22.54 eV/cell
formation energy without anion corrections: -0.254 eV/atom

Record 6
Below is a relaxed structure of RbNaTi2P2O10, with properties calculated at the GGA-PBEsol level.

Lattice parameters (Å, degrees): 6.349 10.607 12.839 90.00 90.00 90.00
Atoms (fractional coordinates):
Rb 0.156 0.577 0.097
Rb 0.844 0.077 0.903
Rb 0.344 0.577 0.597
Rb 0.656 0.077 0.403
Na 0.750 0.293 0.161
Na 0.250 0.793 0.839
Na 0.750 0.293 0.661
Na 0.250 0.793 0.339
Ti 0.483 0.016 0.128
Ti 0.517 0.516 0.872
Ti 0.017 0.016 0.628
Ti 0.983 0.516 0.372
Ti 0.249 0.272 0.251
Ti 0.751 0.772 0.749
Ti 0.251 0.272 0.751
Ti 0.749 0.772 0.249
P 0.340 0.276 0.001
P 0.660 0.776 0.999
P 0.160 0.276 0.501
P 0.840 0.776 0.499
P 0.990 0.026 0.186
P 0.010 0.526 0.814
P 0.510 0.026 0.686
P 0.490 0.526 0.314
O 0.021 0.396 0.491
O 0.979 0.896 0.509
O 0.479 0.396 0.991
O 0.521 0.896 0.009
O 0.294 0.553 0.381
O 0.706 0.053 0.619
O 0.206 0.553 0.881
O 0.794 0.053 0.119
O 0.449 0.157 0.220
O 0.551 0.657 0.780
O 0.051 0.157 0.720
O 0.949 0.657 0.280
O 0.023 0.400 0.273
O 0.977 0.900 0.727
O 0.477 0.400 0.773
O 0.523 0.900 0.227
O 0.459 0.412 0.241
O 0.541 0.912 0.759
O 0.041 0.412 0.741
O 0.959 0.912 0.259
O 0.177 0.001 0.113
O 0.823 0.501 0.887
O 0.323 0.001 0.613
O 0.677 0.501 0.387
O 0.483 0.161 0.016
O 0.517 0.661 0.984
O 0.017 0.161 0.516
O 0.983 0.661 0.484
O 0.022 0.145 0.254
O 0.978 0.645 0.746
O 0.478 0.145 0.754
O 0.522 0.645 0.246
O 0.296 0.260 0.401
O 0.704 0.760 0.599
O 0.204 0.260 0.901
O 0.796 0.760 0.099
O 0.188 0.296 0.095
O 0.812 0.796 0.905
O 0.312 0.296 0.595
O 0.688 0.796 0.405

space-group type: No. 33
uncorrected energy: -499.80 eV/cell
formation energy without anion corrections: -2.613 eV/atom

Record 7
Below is a relaxed structure of AsPb2, with properties calculated at the GGA-PBEsol level.

Lattice parameters (Å, degrees): 4.205 6.479 6.347 89.98 90.00 108.94
Atoms (fractional coordinates):
Pb 0.359 0.719 0.724
Pb 0.363 0.726 0.224
Pb 0.057 0.114 0.474
Pb 0.665 0.330 0.974
As 0.998 0.995 0.968
As 0.725 0.449 0.469

space-group type: No. 36
uncorrected energy: -26.06 eV/cell
ΔE_f: 7 kJ/mol of formula units
energy above the most stable polymorph in this dataset: 0 meV per atom

Record 8
Below is a relaxed structure of Fe2CuAgPd, with properties calculated at the GGA-PBEsol level.

Lattice parameters (Å, degrees): 4.554 4.554 4.825 90.00 90.00 90.00
Each line ends with the local moment (μB).
Atoms (fractional coordinates):
Cu 0.500 0.500 0.500  0.04
Pd 0.000 0.000 0.500  0.09
Ag 0.000 0.000 0.000  0.12
Fe 0.000 0.500 0.000  3.16
Fe 0.500 0.000 0.000  3.16

space-group type: No. 123
uncorrected energy: -22.86 eV/cell
ΔE_f: 837 kJ/mol of formula units